## HfThB (PBE)

Data for crystalline HfThB at its relaxed geometry.

Cell and atoms, written as CIF:
```
data_HfThB
_chemical_formula_sum 'Hf2 Th2 B2'
_cell_length_a 4.3604
_cell_length_b 4.3604
_cell_length_c 6.7447
_cell_angle_alpha 90.00
_cell_angle_beta 90.00
_cell_angle_gamma 90.00
_space_group_name_H-M_alt 'P 1'
_space_group_IT_number 1
_space_group_name_Hall 'P 1'
loop_
_atom_site_label
_atom_site_fract_x
_atom_site_fract_y
_atom_site_fract_z
Hf1 0.2500 0.2500 0.1184
Hf2 0.7500 0.7500 0.8816
Th1 0.2500 0.2500 0.6539
Th2 0.7500 0.7500 0.3461
B1 0.2500 0.7500 0.0000
B2 0.7500 0.2500 0.0000
```

Properties
The density of states at the Fermi level comes out at 1.003 states/eV per atom. The calculation puts the volume at 128 Å³/cell. The space group is P4/nmm, No. 129. The calculation puts the total energy at -7.9789 eV per atom. The value obtained for the formation energy is 0.11 eV per formula unit.

---

## HfTi2B (PBE)

Data for crystalline HfTi2B at its relaxed geometry.

Cell and atoms, written as CIF:
```
data_HfTi2B
_chemical_formula_sum 'Hf2 Ti4 B2'
_cell_length_a 5.1927
_cell_length_b 5.1927
_cell_length_c 7.5201
_cell_angle_alpha 90.00
_cell_angle_beta 90.00
_cell_angle_gamma 142.70
_space_group_name_H-M_alt 'P 1'
_space_group_IT_number 1
_space_group_name_Hall 'P 1'
loop_
_atom_site_label
_atom_site_fract_x
_atom_site_fract_y
_atom_site_fract_z
Hf1 0.0734 0.9266 0.7500
Hf2 0.9266 0.0734 0.2500
Ti1 0.3535 0.6465 0.5600
Ti2 0.3535 0.6465 0.9400
Ti3 0.6465 0.3535 0.0600
Ti4 0.6465 0.3535 0.4400
B1 0.2371 0.7629 0.2500
B2 0.7629 0.2371 0.7500
```

Properties
The density of states at the Fermi level comes out at 1.291 states/eV per atom. The calculation puts the volume at 123 Å³/cell. The space group is Cmcm, No. 63. The calculation puts the total energy at -8.4050 eV per atom. The value obtained for the formation energy is -1.20 eV per formula unit.

---

## HfTiB3 (PBE)

Data for crystalline HfTiB3 at its relaxed geometry.

Cell and atoms, written as CIF:
```
data_HfTiB3
_chemical_formula_sum 'Hf2 Ti2 B6'
_cell_length_a 10.1341
_cell_length_b 10.1341
_cell_length_c 3.1021
_cell_angle_alpha 90.00
_cell_angle_beta 90.00
_cell_angle_gamma 161.01
_space_group_name_H-M_alt 'P 1'
_space_group_IT_number 1
_space_group_name_Hall 'P 1'
loop_
_atom_site_label
_atom_site_fract_x
_atom_site_fract_y
_atom_site_fract_z
Hf1 0.2000 0.8000 0.7500
Hf2 0.8000 0.2000 0.2500
Ti1 0.0652 0.9348 0.2500
Ti2 0.9348 0.0652 0.7500
B1 0.3463 0.6537 0.7500
B2 0.3906 0.6094 0.2500
B3 0.4783 0.5217 0.2500
B4 0.5217 0.4783 0.7500
B5 0.6094 0.3906 0.7500
B6 0.6537 0.3463 0.2500
```

Properties
The density of states at the Fermi level comes out at 0.391 states/eV per atom. The calculation puts the volume at 104 Å³/cell. The space group is Cmcm, No. 63. The calculation puts the total energy at -8.4630 eV per atom. The value obtained for the formation energy is -4.43 eV per formula unit.

---

## HfTi3B4 (PBE)

Data for crystalline HfTi3B4 at its relaxed geometry.

Cell and atoms, written as CIF:
```
data_HfTi3B4
_chemical_formula_sum 'Hf1 Ti3 B4'
_cell_length_a 6.9219
_cell_length_b 6.9219
_cell_length_c 6.9219
_cell_angle_alpha 153.16
_cell_angle_beta 138.01
_cell_angle_gamma 50.54
_space_group_name_H-M_alt 'P 1'
_space_group_IT_number 1
_space_group_name_Hall 'P 1'
loop_
_atom_site_label
_atom_site_fract_x
_atom_site_fract_y
_atom_site_fract_z
Hf1 0.0000 0.0000 0.0000
Ti1 0.1947 0.6947 0.5000
Ti2 0.5000 0.5000 0.0000
Ti3 0.8053 0.3053 0.5000
B1 0.1984 0.8648 0.3337
B2 0.4689 0.1352 0.3337
B3 0.5311 0.8648 0.6663
B4 0.8016 0.1352 0.6663
```

Properties
The density of states at the Fermi level comes out at 0.584 states/eV per atom. The calculation puts the volume at 100 Å³/cell. The space group is Immm, No. 71. The calculation puts the total energy at -7.8940 eV per atom. The value obtained for the formation energy is -2.80 eV per formula unit.

---

## HfTi3B (PBE)

Data for crystalline HfTi3B at its relaxed geometry.

Cell and atoms, written as CIF:
```
data_HfTi3B
_chemical_formula_sum 'Hf1 Ti3 B1'
_cell_length_a 4.7593
_cell_length_b 4.7593
_cell_length_c 4.7593
_cell_angle_alpha 90.00
_cell_angle_beta 90.00
_cell_angle_gamma 90.00
_space_group_name_H-M_alt 'P 1'
_space_group_IT_number 1
_space_group_name_Hall 'P 1'
loop_
_atom_site_label
_atom_site_fract_x
_atom_site_fract_y
_atom_site_fract_z
Hf1 0.0000 0.0000 0.0000
Ti1 0.0000 0.0000 0.5000
Ti2 0.0000 0.5000 0.0000
Ti3 0.5000 0.0000 0.0000
B1 0.5000 0.5000 0.5000
```

Properties
The density of states at the Fermi level comes out at 1.716 states/eV per atom. The calculation puts the volume at 108 Å³/cell. The space group is Pm-3m, No. 221. The calculation puts the total energy at -6.0342 eV per atom. The value obtained for the formation energy is 10.14 eV per formula unit.

---

## HfTiB3 (PBE)

Data for crystalline HfTiB3 at its relaxed geometry.

Cell and atoms, written as CIF:
```
data_HfTiB3
_chemical_formula_sum 'Hf1 Ti1 B3'
_cell_length_a 3.9722
_cell_length_b 3.9722
_cell_length_c 3.9722
_cell_angle_alpha 90.00
_cell_angle_beta 90.00
_cell_angle_gamma 90.00
_space_group_name_H-M_alt 'P 1'
_space_group_IT_number 1
_space_group_name_Hall 'P 1'
loop_
_atom_site_label
_atom_site_fract_x
_atom_site_fract_y
_atom_site_fract_z
Hf1 0.0000 0.0000 0.0000
Ti1 0.5000 0.5000 0.5000
B1 0.0000 0.5000 0.5000
B2 0.5000 0.0000 0.5000
B3 0.5000 0.5000 0.0000
```

Properties
The density of states at the Fermi level comes out at 0.255 states/eV per atom. The calculation puts the volume at 63 Å³/cell. The space group is Pm-3m, No. 221. The calculation puts the total energy at -6.9434 eV per atom. The value obtained for the formation energy is 3.16 eV per formula unit.

---

## Hf2TiB (PBE)

Data for crystalline Hf2TiB at its relaxed geometry.

Cell and atoms, written as CIF:
```
data_Hf2TiB
_chemical_formula_sum 'Hf4 Ti2 B2'
_cell_length_a 5.8231
_cell_length_b 5.8231
_cell_length_c 5.8231
_cell_angle_alpha 101.18
_cell_angle_beta 101.18
_cell_angle_gamma 127.76
_space_group_name_H-M_alt 'P 1'
_space_group_IT_number 1
_space_group_name_Hall 'P 1'
loop_
_atom_site_label
_atom_site_fract_x
_atom_site_fract_y
_atom_site_fract_z
Hf1 0.0537 0.6250 0.9287
Hf2 0.3750 0.3037 0.4287
Hf3 0.6963 0.1250 0.0713
Hf4 0.8750 0.9463 0.5713
Ti1 0.2500 0.7500 0.5000
Ti2 0.5000 0.5000 0.0000
B1 0.0000 0.0000 0.0000
B2 0.7500 0.2500 0.5000
```

Properties
The density of states at the Fermi level comes out at 1.883 states/eV per atom. The calculation puts the volume at 140 Å³/cell. The space group is I-42d, No. 122. The calculation puts the total energy at -8.3428 eV per atom. The value obtained for the formation energy is 1.11 eV per formula unit.

---

## Hf3TiB (PBE)

Data for crystalline Hf3TiB at its relaxed geometry.

Cell and atoms, written as CIF:
```
data_Hf3TiB
_chemical_formula_sum 'Hf3 Ti1 B1'
_cell_length_a 4.6101
_cell_length_b 4.6101
_cell_length_c 4.6101
_cell_angle_alpha 90.00
_cell_angle_beta 90.00
_cell_angle_gamma 90.00
_space_group_name_H-M_alt 'P 1'
_space_group_IT_number 1
_space_group_name_Hall 'P 1'
loop_
_atom_site_label
_atom_site_fract_x
_atom_site_fract_y
_atom_site_fract_z
Hf1 0.0000 0.0000 0.5000
Hf2 0.0000 0.5000 0.0000
Hf3 0.5000 0.0000 0.0000
Ti1 0.5000 0.5000 0.5000
B1 0.0000 0.0000 0.0000
```

Properties
The density of states at the Fermi level comes out at 1.240 states/eV per atom. The calculation puts the volume at 98 Å³/cell. The space group is Pm-3m, No. 221. The calculation puts the total energy at -8.8767 eV per atom. The value obtained for the formation energy is 0.05 eV per formula unit.